Density functional theory data (PBE-GGA) for crystalline Pm3Pa2O9 at its relaxed geometry.

Results
As for the density of states at the Fermi level: 0.252 states/eV/atom. For the uncorrected formation energy, the calculation gives -3.3187 eV per atom. The crystal system is tetragonal. Its size of the total moment is 0.83 μB per formula unit. Its total energy is -248.66 eV for the cell shown.

```
data_Pm3Pa2O9
_cell_length_a 3.9496
_cell_length_b 3.9496
_cell_length_c 28.2638
_cell_angle_alpha 90.00
_cell_angle_beta 90.00
_cell_angle_gamma 90.00
_space_group_name_H-M_alt 'I -4 m 2'
_space_group_IT_number 119
_space_group_name_Hall 'I -4 -2'
loop_
_atom_site_label
_atom_site_type_symbol
_atom_site_fract_x
_atom_site_fract_y
_atom_site_fract_z
Pm1 Pm 0.0000 0.0000 0.0000
Pm2 Pm 0.0000 0.0000 0.4111
Pa1 Pa 0.0000 0.0000 0.1951
O1 O 0.0000 0.5000 0.0499
O2 O 0.0000 0.5000 0.1581
O3 O 0.0000 0.5000 0.2500
O4 O 0.0000 0.5000 0.5532
O5 O 0.0000 0.5000 0.6683
```